An optimized crystal structure of Pr7DyY2. Source: Alexandria via LeMat-Bulk, functional GGA-PBE.

abc: 3.542 10.515 10.515
angles: 108.87 90.00 90.00
Fractional coordinates of all 10 atoms:
1 Pr 0.000 0.677 0.323
2 Pr 0.000 0.323 0.677
3 Pr 0.500 0.126 0.384
4 Pr 0.500 0.874 0.616
5 Pr 0.500 0.384 0.126
6 Pr 0.500 0.616 0.874
7 Pr 0.500 0.500 0.500
8 Dy 0.000 0.000 0.000
9 Y 0.500 0.834 0.166
10 Y 0.500 0.166 0.834

Total magnetization   0.00 μB/atom
Energy of formation from the pure elements   375 meV/atom
Fermi-level density of states   16.2 states/eV/cell